The following is a DFT calculation (PBE) of a relaxed structure of La2Zn4PtAu.

The calculation puts the total energy at -58.52 eV/cell.

The space group is Amm2 (No. 38) and the conventional cell measures 7.1641, 4.5421 and 10.1211 Å, with angles of 90.00, 90.00 and 90.00 degrees. The inequivalent atoms are La at (0.0000, 0.0000, 0.0000), La at (0.5000, 0.0000, 0.1632), Zn at (0.1935, 0.0000, 0.7155), Zn at (0.3139, 0.0000, 0.4514), Pt at (0.5000, 0.0000, 0.8756) and Au at (0.0000, 0.0000, 0.2935).

The following is a DFT calculation (PBE) of a relaxed structure of CdS.

The calculation puts the total energy at -11.73 eV/cell.

The space group is P4/nmm (No. 129, origin choice 2) and the conventional cell measures 3.7775, 3.7775 and 9.7465 Å, with angles of 90.00, 90.00 and 90.00 degrees. The inequivalent atoms are Cd at (0.2500, 0.2500, 0.1215) and S at (0.2500, 0.2500, 0.8459).